# 1
5
Lattice="-3.357 -2.452 2.654 3.598 -1.936 2.763 -0.242 2.787 2.269" Properties=species:S:1:pos:R:3 comment="CrTeP2O GGA+U relaxed" volume_a3_per_cell=87.61 mass_density_kg_m3=4882 magnetic_moment_mub_per_atom=0.3544 dft_energy_ev_per_cell=-26.2 spacegroup=P4/mmm pbc="T T T"
Cr 0.000 0.000 0.000
Te -0.001 -0.800 3.842
O -0.121 1.393 1.134
P 1.799 -0.968 1.381
P -1.678 -1.226 1.327

***

# 2
5
Lattice="-4.395 1.680 -1.751 -2.281 -4.095 1.797 -0.640 1.834 3.366" Properties=species:S:1:pos:R:3 comment="CrTeP2O GGA+U relaxed" volume_a3_per_cell=97.94 mass_density_kg_m3=4366 magnetic_moment_mub_per_atom=0.3261 dft_energy_ev_per_cell=-20.7 spacegroup=P4/mmm pbc="T T T"
Cr -3.658 -0.291 1.706
Te 0.000 0.000 0.000
O -0.320 0.917 1.683
P -1.141 -2.047 0.899
P -2.197 0.840 -0.876

***

# 3
12
Lattice="5.078 0.000 0.000 -2.539 4.398 0.000 0.000 0.000 5.918" Properties=species:S:1:pos:R:3 comment="ThCr2PO8 GGA+U relaxed" volume_a3_per_cell=132.15 mass_density_kg_m3=6220 magnetic_moment_mub_per_atom=0.4167 dft_energy_ev_per_cell=-89.5 spacegroup=P-3m1 pbc="T T T"
Th 0.000 0.000 2.959
Cr 2.539 1.466 0.436
Cr 0.000 2.932 5.482
P 0.000 0.000 0.000
O 2.539 2.996 4.957
O 1.213 0.701 4.957
O 3.864 0.701 4.957
O 0.000 1.401 0.961
O 1.326 3.697 0.961
O -1.326 3.697 0.961
O 2.539 1.466 2.212
O 0.000 2.932 3.706

***

# 4
5
Lattice="4.912 0.000 0.000 0.000 4.912 0.000 0.000 0.000 3.669" Properties=species:S:1:pos:R:3 comment="TiCrP2O GGA+U relaxed" volume_a3_per_cell=88.51 mass_density_kg_m3=3336 magnetic_moment_mub_per_atom=0.6564 dft_energy_ev_per_cell=-33.3 spacegroup=P4/mmm pbc="T T T"
Cr 2.456 2.456 1.834
O 0.000 0.000 1.834
P 0.000 2.456 0.000
P 2.456 0.000 0.000
Ti 0.000 0.000 0.000

***

# 5
34
Lattice="-7.254 -4.683 1.601 -1.719 -7.422 -4.368 0.384 -7.834 3.949" Properties=species:S:1:pos:R:3 comment="TiCr3P6O24 GGA+U relaxed" volume_a3_per_cell=463.06 mass_density_kg_m3=2774 magnetic_moment_mub_per_atom=0.1144 dft_energy_ev_per_cell=-249.1 spacegroup=R3 pbc="T T T"
Ti -7.382 -17.137 1.016
Cr -1.225 -2.843 0.169
Cr -3.076 -7.141 0.424
Cr -5.517 -12.807 0.760
P -0.762 -9.486 0.992
P -4.643 -8.015 -2.398
P -5.325 -7.408 2.883
P -3.300 -12.523 -1.715
P -3.920 -11.943 3.556
P -7.824 -10.459 0.230
O -1.741 -6.629 -0.868
O -2.110 -6.308 1.867
O -0.583 -9.592 2.520
O -4.112 -5.550 0.097
O -2.122 -8.803 0.744
O -0.809 -10.864 0.322
O -3.589 -8.645 -3.331
O -4.067 -8.067 -0.968
O -4.420 -7.758 1.684
O -3.185 -11.241 -2.551
O -1.915 -12.914 -1.160
O -2.623 -11.122 3.524
O -5.954 -8.808 -2.395
O -6.688 -6.975 2.306
O -5.443 -8.664 3.753
O -4.212 -12.189 -0.523
O -4.497 -11.909 2.132
O -4.941 -11.275 4.500
O -7.735 -9.077 0.892
O -6.476 -11.155 0.482
O -4.464 -14.403 1.081
O -8.000 -10.301 -1.294
O -6.494 -13.634 -0.696
O -6.854 -13.315 2.068

***

# 6
5
Lattice="-2.651 -0.373 3.911 -3.855 -0.664 -2.676 0.561 -3.456 0.050" Properties=species:S:1:pos:R:3 comment="TiCrP2O GGA+U relaxed" volume_a3_per_cell=78.68 mass_density_kg_m3=3753 magnetic_moment_mub_per_atom=0.4435 dft_energy_ev_per_cell=-31.6 spacegroup=P4/mmm pbc="T T T"
Cr 0.000 0.000 0.000
O 0.280 -1.728 0.025
P -1.928 -0.332 -1.338
P -1.325 -0.187 1.956
Ti -2.973 -2.247 0.643